{
  "formula": "Na2UBr6",
  "functional": "PBE",
  "state": "relaxed",
  "cell": [[10.8536, -6.2616, 0.0000], [10.8536, 6.2616, 0.0000], [-0.0153, 0.0000, 6.5991]],
  "species": ["Na", "Na", "Na", "Na", "Na", "Na", "U", "U", "U", "Br", "Br", "Br", "Br", "Br", "Br", "Br", "Br", "Br", "Br", "Br", "Br", "Br", "Br", "Br", "Br", "Br", "Br"],
  "fractional_positions": [[0.1631, 0.5000, 0.0005], [0.1630, 0.8370, 0.0000], [0.5000, 0.1631, 0.0005], [0.5000, 0.8369, 0.9995], [0.8370, 0.1630, 0.0000], [0.8369, 0.5000, 0.9995], [0.1668, 0.1668, 0.4958], [0.5000, 0.5000, 0.0000], [0.8332, 0.8332, 0.5042], [0.0469, 0.7269, 0.2671], [0.0612, 0.0612, 0.2547], [0.0612, 0.3777, 0.2532], [0.2732, 0.2732, 0.7312], [0.2731, 0.9531, 0.7329], [0.2887, 0.6055, 0.7595], [0.3777, 0.0612, 0.2532], [0.3941, 0.3941, 0.2400], [0.3945, 0.7113, 0.2405], [0.6055, 0.2887, 0.7595], [0.6059, 0.6059, 0.7600], [0.6223, 0.9388, 0.7468], [0.7113, 0.3945, 0.2405], [0.7269, 0.0469, 0.2671], [0.7268, 0.7268, 0.2688], [0.9388, 0.6223, 0.7468], [0.9388, 0.9388, 0.7453], [0.9531, 0.2731, 0.7329]],
  "e_above_lowest_polymorph_mev_per_atom": 7.2,
  "total_energy_ev_per_cell": -110.1,
  "total_magnetization_mub_per_cell": 6.000
}

{
  "formula": "Na2UBr6",
  "functional": "PBE",
  "state": "relaxed",
  "cell": [[6.9265, 0.0000, 0.0000], [0.0000, 6.9265, 0.0000], [0.0000, 0.0000, 12.9715]],
  "species": ["Na", "Na", "Na", "Na", "U", "U", "Br", "Br", "Br", "Br", "Br", "Br", "Br", "Br", "Br", "Br", "Br", "Br"],
  "fractional_positions": [[0.0000, 0.0000, 0.1651], [0.0000, 0.0000, 0.8349], [0.5000, 0.5000, 0.3349], [0.5000, 0.5000, 0.6651], [0.0000, 0.0000, 0.5000], [0.5000, 0.5000, 0.0000], [0.1944, 0.1944, 0.3433], [0.1944, 0.1944, 0.6567], [0.2139, 0.2139, 0.0000], [0.2861, 0.7139, 0.5000], [0.3056, 0.6944, 0.1567], [0.3056, 0.6944, 0.8433], [0.6944, 0.3056, 0.1567], [0.6944, 0.3056, 0.8433], [0.7139, 0.2861, 0.5000], [0.7861, 0.7861, 0.0000], [0.8056, 0.8056, 0.3433], [0.8056, 0.8056, 0.6567]],
  "e_above_lowest_polymorph_mev_per_atom": 0.0,
  "total_energy_ev_per_cell": -73.5,
  "total_magnetization_mub_per_cell": 4.027
}

{
  "formula": "Nb3Br2",
  "functional": "PBE",
  "state": "relaxed",
  "cell": [[3.4502, 1.9920, 4.6811], [-3.4502, 1.9920, 4.6811], [0.0000, -3.9840, 4.6811]],
  "species": ["Nb", "Nb", "Nb", "Nb", "Nb", "Nb", "Br", "Br", "Br", "Br"],
  "fractional_positions": [[0.0032, 0.7500, 0.4968], [0.2500, 0.5032, 0.9968], [0.4968, 0.0032, 0.7500], [0.5032, 0.9968, 0.2500], [0.7500, 0.4968, 0.0032], [0.9968, 0.2500, 0.5032], [0.1042, 0.1042, 0.1042], [0.3958, 0.3958, 0.3958], [0.6042, 0.6042, 0.6042], [0.8958, 0.8958, 0.8958]],
  "total_energy_ev_per_cell": -61.1,
  "total_magnetization_mub_per_cell": 0.018
}

{
  "formula": "NbBr4",
  "functional": "PBE",
  "state": "relaxed",
  "cell": [[10.3364, 0.0000, 0.0000], [0.0000, 7.0085, 0.0000], [-2.2726, 0.0000, 10.1255]],
  "species": ["Nb", "Nb", "Nb", "Nb", "Br", "Br", "Br", "Br", "Br", "Br", "Br", "Br", "Br", "Br", "Br", "Br", "Br", "Br", "Br", "Br"],
  "fractional_positions": [[0.2482, 0.0792, 0.1302], [0.2482, 0.4208, 0.6302], [0.7518, 0.5792, 0.3698], [0.7518, 0.9208, 0.8698], [0.0677, 0.5880, 0.6972], [0.0677, 0.9120, 0.1972], [0.1839, 0.0934, 0.5720], [0.1839, 0.4066, 0.0720], [0.3087, 0.5844, 0.4460], [0.3087, 0.9156, 0.9460], [0.4380, 0.0777, 0.3157], [0.4380, 0.4223, 0.8157], [0.5620, 0.5777, 0.1843], [0.5620, 0.9223, 0.6843], [0.6913, 0.0844, 0.0540], [0.6913, 0.4156, 0.5540], [0.8161, 0.5934, 0.9280], [0.8161, 0.9066, 0.4280], [0.9323, 0.0880, 0.8028], [0.9323, 0.4120, 0.3028]],
  "total_energy_ev_per_cell": -82.1,
  "total_magnetization_mub_per_cell": 3.965
}

{
  "formula": "NbBr4",
  "functional": "PBE",
  "state": "relaxed",
  "cell": [[6.2967, -3.6027, 0.0000], [6.2967, 3.6027, 0.0000], [-5.7793, 0.0000, 6.5541]],
  "species": ["Nb", "Nb", "Br", "Br", "Br", "Br", "Br", "Br", "Br", "Br"],
  "fractional_positions": [[0.2166, 0.7834, 0.0000], [0.7834, 0.2166, 0.0000], [0.2164, 0.7269, 0.6914], [0.2168, 0.2168, 0.1806], [0.2731, 0.7836, 0.3086], [0.3125, 0.3125, 0.8422], [0.6875, 0.6875, 0.1578], [0.7269, 0.2164, 0.6914], [0.7832, 0.7832, 0.8194], [0.7836, 0.2731, 0.3086]],
  "total_energy_ev_per_cell": -42.1,
  "total_magnetization_mub_per_cell": 0.003
}

{
  "formula": "NbBr5",
  "functional": "PBE",
  "state": "relaxed",
  "cell": [[7.7219, 0.0000, 0.0000], [0.0000, 8.4872, 0.0000], [0.0000, 0.0000, 6.7620]],
  "species": ["Nb", "Nb", "Br", "Br", "Br", "Br", "Br", "Br", "Br", "Br", "Br", "Br"],
  "fractional_positions": [[0.2500, 0.2500, 0.1737], [0.7500, 0.7500, 0.8263], [0.0220, 0.7500, 0.6427], [0.2500, 0.2500, 0.8130], [0.2500, 0.5444, 0.1703], [0.2500, 0.9556, 0.1703], [0.4780, 0.7500, 0.6427], [0.5220, 0.2500, 0.3573], [0.7500, 0.0444, 0.8297], [0.7500, 0.4556, 0.8297], [0.7500, 0.7500, 0.1870], [0.9780, 0.2500, 0.3573]],
  "e_above_lowest_polymorph_mev_per_atom": 9.6,
  "total_energy_ev_per_cell": -46.7,
  "total_magnetization_mub_per_cell": 0.006
}